[1]
Entry from Alexandria via LeMat-Bulk: an optimized crystal structure of Ni4Os (PBE).

Output
**N(E_F)**: 9.56 states/eV per cell
**Energy above the most stable polymorph in this dataset**: 521 meV/atom
**M_tot**: 2.47 Bohr magnetons per cell
**Formation energy**: 0.5688 eV/atom

Lattice parameters (Å, degrees): 6.2199 6.2199 6.2199 149.56 149.56 43.59
Closest atoms and distances in Å follow each position.
Sites, in units of the cell vectors:
Ni 0.0996 0.0996 0.0000  5 Ni 2.30-2.38
Ni 0.2500 0.7500 0.5000  8 Ni 2.31-2.38
Ni 0.7500 0.2500 0.5000  8 Ni 2.31-2.38
Ni 0.9004 0.9004 0.0000  5 Ni 2.30-2.38
Os 0.5000 0.5000 0.0000  8 Ni 2.58


[2]
Entry from Alexandria via LeMat-Bulk: an optimized crystal structure of FeIrW2 (PBE).

Output
**N(E_F)**: 4.02 states/eV per cell
**Energy above the most stable polymorph in this dataset**: 114 meV/atom
**M_tot**: 1.85 Bohr magnetons per cell
**Formation energy**: 0.0592 eV/atom

Lattice parameters (Å, degrees): 2.7260 2.7260 7.8870 90.00 90.00 90.00
Closest atoms and distances in Å follow each position.
Sites, in units of the cell vectors:
Fe 0.0000 0.0000 0.0000  4 Ir 2.64, 4 W 2.70, 4 Fe 2.73
Ir 0.5000 0.5000 0.2288  4 Fe 2.64, 4 Ir 2.73, 4 W 2.75
W 0.0000 0.0000 0.4777  8 W 2.73-2.95, 4 Ir 2.75
W 0.5000 0.5000 0.7602  4 Fe 2.70, 8 W 2.73-2.95


[3]
Entry from Alexandria via LeMat-Bulk: an optimized crystal structure of Hf2ZnI (PBE).

Output
**Formation energy without anion corrections**: 0.27 eV per atom
**N(E_F)**: 7.62 states/eV per cell
**Energy above the most stable polymorph in this dataset**: 0 meV/atom
**M_tot**: 0.00 Bohr magnetons per cell

Lattice parameters (Å, degrees): 4.9062 4.9062 4.9062 60.00 60.00 60.00
Closest atoms and distances in Å follow each position.
Sites, in units of the cell vectors:
Hf 0.2500 0.2500 0.2500  4 I 3.00, 4 Zn 3.00
Hf 0.7500 0.7500 0.7500  4 I 3.00, 4 Zn 3.00
Zn 0.0000 0.0000 0.0000  8 Hf 3.00
I 0.5000 0.5000 0.5000  8 Hf 3.00


[4]
Entry from Alexandria via LeMat-Bulk: an optimized crystal structure of CaY3Sn (PBE).

Output
**N(E_F)**: 9.65 states/eV per cell
**Energy above the most stable polymorph in this dataset**: 0 meV/atom
**M_tot**: 0.81 Bohr magnetons per cell
**Formation energy**: 0.0827 eV/atom

Lattice parameters (Å, degrees): 5.8238 5.8238 5.8238 90.00 90.00 90.00
Closest atoms and distances in Å follow each position.
Sites, in units of the cell vectors:
Ca 0.0000 0.0000 0.0000  12 Y 4.12
Y 0.0000 0.5000 0.5000  2 Sn 2.91
Y 0.5000 0.0000 0.5000  2 Sn 2.91
Y 0.5000 0.5000 0.0000  2 Sn 2.91
Sn 0.5000 0.5000 0.5000  6 Y 2.91


[5]
Entry from Alexandria via LeMat-Bulk: an optimized crystal structure of PaTiB (PBE).

Output
**N(E_F)**: 2.72 states/eV per cell
**Energy above the most stable polymorph in this dataset**: 2 meV/atom
**M_tot**: 0.00 Bohr magnetons per cell
**Formation energy**: -0.0427 eV/atom

Lattice parameters (Å, degrees): 3.4286 3.4286 5.1513 90.00 90.00 120.00
Closest atoms and distances in Å follow each position.
Sites, in units of the cell vectors:
Pa 0.0000 0.0000 0.0000  3 B 2.50
Ti 0.6667 0.3333 0.5053  3 B 2.23
B 0.3333 0.6667 0.7044  3 Ti 2.23


[6]
Entry from Alexandria via LeMat-Bulk: an optimized crystal structure of BaTiCo2 (PBE).

Output
**N(E_F)**: 3.81 states/eV per cell
**Energy above the most stable polymorph in this dataset**: 236 meV/atom
**M_tot**: 0.68 Bohr magnetons per cell
**Formation energy**: 0.7431 eV/atom

Lattice parameters (Å, degrees): 4.7286 4.7286 4.7286 60.00 60.00 60.00
Closest atoms and distances in Å follow each position.
Sites, in units of the cell vectors:
Ba 0.0000 0.0000 0.0000  8 Co 2.90
Ti 0.5000 0.5000 0.5000  8 Co 2.90
Co 0.2500 0.2500 0.2500  4 Ba 2.90, 4 Ti 2.90
Co 0.7500 0.7500 0.7500  4 Ba 2.90, 4 Ti 2.90


[7]
Entry from Alexandria via LeMat-Bulk: an optimized crystal structure of Cr2RhW (PBE).

Output
**N(E_F)**: 5.38 states/eV per cell
**Energy above the most stable polymorph in this dataset**: 129 meV/atom
**M_tot**: 0.00 Bohr magnetons per cell
**Formation energy**: 0.1720 eV/atom

Lattice parameters (Å, degrees): 2.7427 3.6197 5.4773 90.00 90.00 90.00
Closest atoms and distances in Å follow each position.
Sites, in units of the cell vectors:
Cr 0.0000 0.0000 0.0000  6 Cr 2.57-2.74, 1 Rh 2.58, 4 W 2.68
Cr 0.5000 0.5000 0.2194  6 Cr 2.57-2.74, 2 W 2.62-2.86, 4 Rh 2.66
Rh 0.0000 0.0000 0.4708  5 Cr 2.58-2.66, 4 W 2.71, 2 Rh 2.74
W 0.5000 0.5000 0.7414  6 Cr 2.62-2.86, 4 Rh 2.71, 2 W 2.74


[8]
Entry from Alexandria via LeMat-Bulk: an optimized crystal structure of LaSmDyZr (PBE).

Output
**N(E_F)**: 7.50 states/eV per cell
**M_tot**: 0.41 Bohr magnetons per cell
**Formation energy**: 0.2122 eV/atom

Lattice parameters (Å, degrees): 5.5522 5.5522 5.5522 60.00 60.00 60.00
Closest atoms and distances in Å follow each position.
Sites, in units of the cell vectors:
La 0.0000 0.0000 0.0000  4 Zr 3.40, 4 Dy 3.40
Sm 0.5000 0.5000 0.5000  4 Zr 3.40, 4 Dy 3.40
Dy 0.7500 0.7500 0.7500  4 La 3.40, 4 Sm 3.40
Zr 0.2500 0.2500 0.2500  4 La 3.40, 4 Sm 3.40


[9]
Entry from Alexandria via LeMat-Bulk: an optimized crystal structure of CsK2NaS (PBE).

Output
**Formation energy without anion corrections**: -0.45 eV per atom
**N(E_F)**: 2.05 states/eV per cell
**Energy above the most stable polymorph in this dataset**: 95 meV/atom
**M_tot**: 0.00 Bohr magnetons per cell

Lattice parameters (Å, degrees): 6.4896 6.4896 5.8018 90.00 90.00 90.00
Closest atoms and distances in Å follow each position.
Sites, in units of the cell vectors:
Cs 0.0000 0.0000 0.0000  8 K 4.35, 4 Na 4.59
K 0.0000 0.5000 0.5000  2 S 3.24
K 0.5000 0.0000 0.5000  2 S 3.24
Na 0.5000 0.5000 0.0000  2 S 2.90
S 0.5000 0.5000 0.5000  2 Na 2.90, 4 K 3.24


[10]
Entry from Alexandria via LeMat-Bulk: an optimized crystal structure of RuSeI2 (PBE).

Output
**Formation energy without anion corrections**: 0.63 eV per atom
**N(E_F)**: 1.71 states/eV per cell
**Energy above the most stable polymorph in this dataset**: 0 meV/atom
**M_tot**: 0.00 Bohr magnetons per cell

Lattice parameters (Å, degrees): 6.8174 6.8174 6.8174 115.28 115.28 98.39
Closest atoms and distances in Å follow each position.
Sites, in units of the cell vectors:
Ru 0.0000 0.0000 0.0000  4 I 2.56
Ru 0.7500 0.2500 0.5000  4 I 2.56
Se 0.2500 0.7500 0.5000  4 I 3.09
Se 0.5000 0.5000 0.0000  4 I 3.09
I 0.0692 0.1250 0.4442  2 Ru 2.56
I 0.3750 0.9308 0.0558  2 Ru 2.56
I 0.6808 0.6250 0.5558  2 Ru 2.56
I 0.8750 0.3192 0.9442  2 Ru 2.56


[11]
Entry from Alexandria via LeMat-Bulk: an optimized crystal structure of Dy2Zn3Au (PBE).

Output
**N(E_F)**: 9.63 states/eV per cell
**Energy above the most stable polymorph in this dataset**: 0 meV/atom
**M_tot**: 0.00 Bohr magnetons per cell
**Formation energy**: -0.5197 eV/atom

Lattice parameters (Å, degrees): 9.0306 8.5728 5.7021 75.51 66.80 37.69
Closest atoms and distances in Å follow each position.
Sites, in units of the cell vectors:
Dy 0.2446 0.7554 0.7554  10 Zn 3.11-3.14, 2 Au 3.13, 1 Dy 3.42
Dy 0.2500 0.2500 0.2500  4 Au 3.13, 8 Zn 3.16, 2 Dy 3.50
Dy 0.7500 0.7500 0.7500  4 Au 3.13, 8 Zn 3.16, 2 Dy 3.50
Dy 0.7554 0.2446 0.2446  10 Zn 3.11-3.14, 2 Au 3.13, 1 Dy 3.42
Zn 0.1733 0.6635 0.3365  2 Zn 2.55, 1 Au 2.66
Zn 0.3370 0.3370 0.6630  2 Zn 2.55, 1 Au 2.66
Zn 0.3365 0.8267 0.1733  2 Zn 2.55, 1 Au 2.66
Zn 0.6635 0.1733 0.8267  2 Zn 2.55, 1 Au 2.66
Zn 0.6630 0.6630 0.3370  2 Zn 2.55, 1 Au 2.66
Zn 0.8267 0.3365 0.6635  2 Zn 2.55, 1 Au 2.66
Au 0.1671 0.1671 0.8329  3 Zn 2.66
Au 0.8329 0.8329 0.1671  3 Zn 2.66


[12]
Entry from Alexandria via LeMat-Bulk: an optimized crystal structure of Al11O18 (PBE).

Output
**Formation energy without anion corrections**: -2.72 eV per atom
**M_tot**: 6.25 Bohr magnetons per cell

Lattice parameters (Å, degrees): 5.6600 22.9375 5.6628 90.00 119.97 90.00
Closest atoms and distances in Å follow each position.
Sites, in units of the cell vectors:
Al 0.0000 0.0000 0.0000  6 O 1.91
Al 0.0000 0.5000 0.0000  6 O 1.91
Al 0.1650 0.1060 0.8302  4 O 1.81-2.00
Al 0.1650 0.3940 0.8302  4 O 1.81-2.00
Al 0.1671 0.1070 0.3340  4 O 1.81-2.01
Al 0.1671 0.3930 0.3340  4 O 1.81-2.01
Al 0.3314 0.6734 0.6632  4 O 1.76-1.79
Al 0.3314 0.8266 0.6632  4 O 1.76-1.79
Al 0.3339 0.5243 0.6676  4 O 1.82-1.83
Al 0.3339 0.9757 0.6676  4 O 1.82-1.83
Al 0.3346 0.6060 0.1698  4 O 1.81-2.00
Al 0.3346 0.8940 0.1698  4 O 1.81-2.00
Al 0.6654 0.1060 0.8302  4 O 1.81-2.00
Al 0.6654 0.3940 0.8302  4 O 1.81-2.00
Al 0.6661 0.0243 0.3324  4 O 1.82-1.83
Al 0.6661 0.4757 0.3324  4 O 1.82-1.83
Al 0.6686 0.1734 0.3368  4 O 1.76-1.79
Al 0.6686 0.3266 0.3368  4 O 1.76-1.79
Al 0.8329 0.6070 0.6660  4 O 1.81-2.01
Al 0.8329 0.8930 0.6660  4 O 1.81-2.01
Al 0.8350 0.6060 0.1698  4 O 1.81-2.00
Al 0.8350 0.8940 0.1698  4 O 1.81-2.00
O 0.0008 0.6401 0.0018  3 Al 1.81
O 0.0008 0.8599 0.0018  3 Al 1.81
O 0.0023 0.1440 0.5012  3 Al 1.77-1.84
O 0.0023 0.3560 0.5012  3 Al 1.77-1.84
O 0.1576 0.5488 0.3153  2 Al 1.82-1.91
O 0.1576 0.9512 0.3153  2 Al 1.82-1.91
O 0.1587 0.5494 0.8441  2 Al 1.82-1.91
O 0.1587 0.9506 0.8441  2 Al 1.82-1.91
O 0.3146 0.0494 0.1558  2 Al 1.82-1.91
O 0.3146 0.4506 0.1558  2 Al 1.82-1.91
O 0.3335 0.0556 0.6667  4 Al 1.83-2.01
O 0.3335 0.4444 0.6667  4 Al 1.83-2.01
O 0.3389 0.7500 0.6786  2 Al 1.76
O 0.4602 0.2500 0.9066  1 O 2.04
O 0.4992 0.1440 0.5012  3 Al 1.77-1.84
O 0.4991 0.1442 0.9979  3 Al 1.79-1.86
O 0.4992 0.3560 0.5012  3 Al 1.77-1.84
O 0.4991 0.3558 0.9979  3 Al 1.79-1.86
O 0.5009 0.6442 0.0021  3 Al 1.79-1.86
O 0.5008 0.6440 0.4988  3 Al 1.77-1.84
O 0.5009 0.8558 0.0021  3 Al 1.79-1.86
O 0.5008 0.8560 0.4988  3 Al 1.77-1.84
O 0.5398 0.7500 0.0934  1 O 2.04
O 0.6611 0.2500 0.3214  2 Al 1.76
O 0.6665 0.5556 0.3333  4 Al 1.83-2.01
O 0.6665 0.9444 0.3333  4 Al 1.83-2.01
O 0.6854 0.5494 0.8442  2 Al 1.82-1.91
O 0.6854 0.9506 0.8442  2 Al 1.82-1.91
O 0.8413 0.0494 0.1559  2 Al 1.82-1.91
O 0.8413 0.4506 0.1559  2 Al 1.82-1.91
O 0.8424 0.0488 0.6847  2 Al 1.82-1.91
O 0.8424 0.4512 0.6847  2 Al 1.82-1.91
O 0.9977 0.6440 0.4988  3 Al 1.77-1.84
O 0.9977 0.8560 0.4988  3 Al 1.77-1.84
O 0.9992 0.1401 0.9982  3 Al 1.81
O 0.9992 0.3599 0.9982  3 Al 1.81